A relaxed La3Ta5N12 crystal, computed with PBE.

The calculation puts the raw formation energy at -1103 meV per atom.

The structure belongs to space group Ia-3d (No. 230); the cell edges are 13.2757, 13.2757 and 13.2757 Å and the angles 90.00°, 90.00° and 90.00°. The inequivalent atoms are La at (0.0000, 0.2500, 0.1250), Ta at (0.0000, 0.0000, 0.0000), Ta at (0.0000, 0.2500, 0.3750) and N at (0.0315, 0.0488, 0.6478).

=====

A relaxed YHoTh2 crystal, computed with PBE.

The calculation puts the excess energy over the best structure of this formula in the dataset at 10 meV per atom. The formation energy is 42 meV/atom.

The structure belongs to space group R3m (No. 160, hexagonal axes); the cell edges are 3.5636, 3.5636 and 34.8421 Å and the angles 90.00°, 90.00° and 120.00°. The inequivalent atoms are Y at (0.0000, 0.0000, 0.0000), Ho at (0.0000, 0.0000, 0.1700), Th at (0.0000, 0.0000, 0.4193) and Th at (0.0000, 0.0000, 0.5843).

=====

A relaxed HoGa2Pb crystal, computed with PBE.

The calculation puts the excess energy over the best structure of this formula in the dataset at 0 meV per atom. The formation energy is -360 meV/atom.

The structure belongs to space group P4/mmm (No. 123); the cell edges are 4.5486, 4.5486 and 4.3576 Å and the angles 90.00°, 90.00° and 90.00°. The inequivalent atoms are Ho at (0.0000, 0.0000, 0.0000), Ga at (0.0000, 0.5000, 0.5000) and Pb at (0.5000, 0.5000, 0.0000).

=====

A relaxed NbPRh2Br crystal, computed with PBE.

The calculation puts the raw formation energy at 1124 meV per atom.

The structure belongs to space group P4/mmm (No. 123); the cell edges are 4.8221, 4.8221 and 4.8640 Å and the angles 90.00°, 90.00° and 90.00°. The inequivalent atoms are Nb at (0.0000, 0.0000, 0.0000), P at (0.5000, 0.5000, 0.5000), Rh at (0.0000, 0.5000, 0.0000) and Br at (0.0000, 0.0000, 0.5000).